1.
Below is a relaxed structure of LiCaCd6, with properties calculated at the PBE level.

a = 5.084 Å, b = 6.472 Å, c = 11.201 Å
α = 90.00°, β = 90.00°, γ = 90.00°
Sites, in units of the cell vectors:
Li: 0.000 0.000 0.000
Li: 0.000 0.500 0.500
Ca: 0.500 0.000 0.332
Ca: 0.500 0.500 0.832
Cd: 0.000 0.000 0.505
Cd: 0.000 0.241 0.747
Cd: 0.000 0.259 0.247
Cd: 0.000 0.500 0.005
Cd: 0.000 0.741 0.247
Cd: 0.000 0.759 0.747
Cd: 0.500 0.000 0.835
Cd: 0.500 0.248 0.082
Cd: 0.500 0.252 0.582
Cd: 0.500 0.500 0.335
Cd: 0.500 0.748 0.582
Cd: 0.500 0.752 0.082

ρ = 6.50 g/cm³
N(E_F) = 2.3 states/eV/f.u.
ΔH_f (0 K) = -0.1989 eV per atom
energy above the lowest structure with this stoichiometry = 16 meV/atom


2.
Below is a relaxed structure of Pr2SmY12, with properties calculated at the PBE level.

a = 6.749 Å, b = 6.749 Å, c = 25.051 Å
α = 90.00°, β = 90.00°, γ = 116.35°
Sites, in units of the cell vectors:
Pr: 0.250 0.750 0.234
Pr: 0.250 0.750 0.771
Pr: 0.750 0.250 0.229
Pr: 0.750 0.250 0.766
Sm: 0.250 0.750 0.500
Sm: 0.750 0.250 0.500
Y: 0.001 0.501 0.627
Y: 0.001 0.999 0.422
Y: 0.011 0.511 0.084
Y: 0.013 0.987 0.939
Y: 0.250 0.250 0.172
Y: 0.250 0.250 0.301
Y: 0.250 0.250 0.699
Y: 0.250 0.250 0.828
Y: 0.487 0.513 0.939
Y: 0.489 0.989 0.084
Y: 0.499 0.501 0.422
Y: 0.499 0.999 0.627
Y: 0.501 0.001 0.373
Y: 0.501 0.499 0.578
Y: 0.511 0.011 0.916
Y: 0.513 0.487 0.061
Y: 0.750 0.750 0.172
Y: 0.750 0.750 0.301
Y: 0.750 0.750 0.699
Y: 0.750 0.750 0.828
Y: 0.987 0.013 0.061
Y: 0.989 0.489 0.916
Y: 0.999 0.001 0.578
Y: 0.999 0.499 0.373

ρ = 4.87 g/cm³
N(E_F) = 26.7 states/eV/f.u.
ΔH_f (0 K) = 0.1652 eV per atom


3.
Below is a relaxed structure of Re2TcS2, with properties calculated at the PBE level.

a = 3.732 Å, b = 3.732 Å, c = 11.097 Å
α = 90.00°, β = 90.00°, γ = 90.00°
Sites, in units of the cell vectors:
Re: 0.000 0.000 0.116
Re: 0.000 0.000 0.884
Re: 0.500 0.500 0.384
Re: 0.500 0.500 0.616
Tc: 0.000 0.000 0.500
Tc: 0.500 0.500 0.000
S: 0.000 0.500 0.250
S: 0.000 0.500 0.750
S: 0.500 0.000 0.250
S: 0.500 0.000 0.750

ρ = 11.49 g/cm³
N(E_F) = 3.2 states/eV/f.u.
energy above the lowest structure with this stoichiometry = 0 meV/atom
uncorrected formation energy = 0.568 eV/atom


4.
Below is a relaxed structure of ErTiOs4, with properties calculated at the PBE level.

a = 5.236 Å, b = 5.236 Å, c = 5.236 Å
α = 60.00°, β = 60.00°, γ = 60.00°
Sites, in units of the cell vectors:
Er: 0.000 0.000 0.000
Ti: 0.750 0.750 0.750
Os: 0.375 0.375 0.375
Os: 0.375 0.375 0.874
Os: 0.375 0.874 0.375
Os: 0.874 0.375 0.375

ρ = 15.96 g/cm³
N(E_F) = 6.0 states/eV/f.u.
ΔH_f (0 K) = -0.1781 eV per atom


5.
Below is a relaxed structure of CdAg2S2, with properties calculated at the PBE level.

a = 4.502 Å, b = 4.502 Å, c = 6.952 Å
α = 90.00°, β = 90.00°, γ = 90.00°
Sites, in units of the cell vectors:
Cd: 0.000 0.000 0.000
Ag: 0.500 0.500 0.296
Ag: 0.500 0.500 0.704
S: 0.000 0.500 0.807
S: 0.500 0.000 0.193

ρ = 4.62 g/cm³
uncorrected formation energy = -0.169 eV/atom


6.
Below is a relaxed structure of Ac2Si3Ru, with properties calculated at the PBE level.

a = 8.599 Å, b = 8.443 Å, c = 6.222 Å
α = 69.93°, β = 67.25°, γ = 42.82°
Sites, in units of the cell vectors:
Ac: 0.242 0.758 0.242
Ac: 0.250 0.250 0.250
Ac: 0.750 0.750 0.750
Ac: 0.758 0.242 0.758
Si: 0.164 0.667 0.836
Si: 0.332 0.332 0.668
Si: 0.333 0.836 0.667
Si: 0.667 0.164 0.333
Si: 0.668 0.668 0.332
Si: 0.836 0.333 0.164
Ru: 0.167 0.167 0.833
Ru: 0.833 0.833 0.167

ρ = 7.53 g/cm³
N(E_F) = 4.8 states/eV/f.u.
uncorrected formation energy = -0.636 eV/atom


7.
Below is a relaxed structure of Ac2TbAu5, with properties calculated at the PBE level.

a = 5.321 Å, b = 5.321 Å, c = 14.464 Å
α = 90.00°, β = 90.00°, γ = 90.00°
Sites, in units of the cell vectors:
Ac: 0.000 0.000 0.223
Ac: 0.000 0.000 0.777
Ac: 0.500 0.500 0.277
Ac: 0.500 0.500 0.723
Tb: 0.000 0.000 0.500
Tb: 0.500 0.500 0.000
Au: 0.000 0.000 0.000
Au: 0.000 0.500 0.108
Au: 0.000 0.500 0.392
Au: 0.000 0.500 0.608
Au: 0.000 0.500 0.892
Au: 0.500 0.000 0.108
Au: 0.500 0.000 0.392
Au: 0.500 0.000 0.608
Au: 0.500 0.000 0.892
Au: 0.500 0.500 0.500

ρ = 12.96 g/cm³
N(E_F) = 6.1 states/eV/f.u.
ΔH_f (0 K) = -0.6823 eV per atom


8.
Below is a relaxed structure of As2PbAu2, with properties calculated at the PBE level.

a = 4.399 Å, b = 4.399 Å, c = 11.672 Å
α = 90.00°, β = 90.00°, γ = 90.00°
Sites, in units of the cell vectors:
As: 0.000 0.000 0.113
As: 0.000 0.000 0.887
As: 0.500 0.500 0.387
As: 0.500 0.500 0.613
Pb: 0.000 0.000 0.500
Pb: 0.500 0.500 0.000
Au: 0.000 0.500 0.250
Au: 0.000 0.500 0.750
Au: 0.500 0.000 0.250
Au: 0.500 0.000 0.750

ρ = 11.04 g/cm³
N(E_F) = 1.3 states/eV/f.u.
ΔH_f (0 K) = 0.0924 eV per atom


Question: Look up the ρ of the fourth one.
Answer: 15.96 g/cm³